Entry 1:
The following is a DFT calculation (PBE) of crystalline SrZrPCl2 at its relaxed geometry.

Results
* energy relative to the elements, uncorrected: -0.19 eV per atom
* energy above the most stable polymorph in this dataset: 1.0891 eV/atom

Lattice parameters (Å, degrees): 5.1829 5.1829 6.1300 90.00 90.00 90.00
Each line ends with the local moment (μB).
Element x y z (fractional)
Zr 0.5000 0.5000 0.5000  1.16
P 0.0000 0.0000 0.5000  -0.27
Cl 0.5000 0.0000 0.0000  0.00
Cl 0.0000 0.5000 0.0000  0.00
Sr 0.0000 0.0000 0.0000  -0.01

Entry 2:
The following is a DFT calculation (PBE) of crystalline TaPCl4 at its relaxed geometry.

Results
* energy relative to the elements, uncorrected: 1.22 eV per atom

Lattice parameters (Å, degrees): 5.4528 5.4528 5.4528 60.00 60.00 60.00
Each line ends with the local moment (μB).
Element x y z (fractional)
P 0.7500 0.7500 0.7500  0.00
Ta 0.0000 0.0000 0.0000  0.05
Cl 0.3740 0.3740 0.3740  0.12
Cl 0.3740 0.3740 0.8779  0.12
Cl 0.8779 0.3740 0.3740  0.12
Cl 0.3740 0.8779 0.3740  0.12

Entry 3:
The following is a DFT calculation (PBE) of crystalline TaP2Cl at its relaxed geometry.

Results
* energy relative to the elements, uncorrected: -0.47 eV per atom
* energy above the most stable polymorph in this dataset: 0.0000 eV/atom

Lattice parameters (Å, degrees): 4.5683 4.5683 7.3308 76.32 76.32 44.17
Element x y z (fractional)
Ta 0.5314 0.5314 0.6062
Cl 0.1729 0.1729 0.3525
P 0.8146 0.8146 0.6771
P 0.9811 0.9811 0.8642

Entry 4:
The following is a DFT calculation (PBE) of crystalline Ta3PCl at its relaxed geometry.

Results
* energy relative to the elements, uncorrected: 0.86 eV per atom
* energy above the most stable polymorph in this dataset: 0.0000 eV/atom

Lattice parameters (Å, degrees): 4.6694 4.6694 4.6694 90.00 90.00 90.00
Element x y z (fractional)
Ta 0.0000 0.5000 0.0000
P 0.0000 0.0000 0.0000
Cl 0.5000 0.5000 0.5000
Ta 0.5000 0.0000 0.0000
Ta 0.0000 0.0000 0.5000

Entry 5:
The following is a DFT calculation (PBE) of crystalline TaP2Cl at its relaxed geometry.

Results
* energy relative to the elements, uncorrected: 0.52 eV per atom
* energy above the most stable polymorph in this dataset: 0.9894 eV/atom

Lattice parameters (Å, degrees): 4.5163 4.5163 4.5163 60.00 60.00 60.00
Element x y z (fractional)
Cl 0.0000 0.0000 0.0000
P 0.2500 0.2500 0.2500
P 0.7500 0.7500 0.7500
Ta 0.5000 0.5000 0.5000

Entry 6:
The following is a DFT calculation (PBE) of crystalline TaP2Cl at its relaxed geometry.

Results
* energy relative to the elements, uncorrected: 0.05 eV per atom
* energy above the most stable polymorph in this dataset: 0.5214 eV/atom

Lattice parameters (Å, degrees): 2.8094 2.8094 10.6207 90.00 90.00 103.69
Element x y z (fractional)
P 0.0000 0.0000 0.0707
Cl 0.5000 0.5000 0.7500
Ta 0.5000 0.5000 0.2500
P 0.0000 0.0000 0.4293

Entry 7:
The following is a DFT calculation (PBE) of crystalline TaP2Cl at its relaxed geometry.

Results
* energy relative to the elements, uncorrected: 0.32 eV per atom
* energy above the most stable polymorph in this dataset: 0.7880 eV/atom

Lattice parameters (Å, degrees): 4.8623 4.8623 4.8623 131.73 131.73 70.65
Element x y z (fractional)
Ta 0.2500 0.7500 0.5000
Cl 0.7500 0.2500 0.5000
P 0.5000 0.5000 0.0000
P 0.0000 0.0000 0.0000

Entry 8:
The following is a DFT calculation (PBE) of crystalline TaP2Cl at its relaxed geometry.

Results
* energy relative to the elements, uncorrected: -0.09 eV per atom
* energy above the most stable polymorph in this dataset: 0.3759 eV/atom

Lattice parameters (Å, degrees): 7.8988 7.8988 7.8988 24.11 24.11 24.11
Element x y z (fractional)
P 0.9886 0.9886 0.9886
P 0.5114 0.5114 0.5114
Ta 0.2500 0.2500 0.2500
Cl 0.7500 0.7500 0.7500